1.
Compound: PdRh3O
Source: Alexandria
Functional: PBE-GGA
Structure: optimized geometry

POSCAR file:
```
PdRh3O
1.0
4.796 0.000 0.000
0.000 4.796 0.000
0.000 0.000 4.796
Pd Rh O
1 3 1
Direct
0.000 0.000 0.000
0.000 0.000 0.500
0.000 0.500 0.000
0.500 0.000 0.000
0.500 0.500 0.500
```

Results
* formation energy without anion corrections: 2.0656 eV/atom
* space-group type: Pm-3m
* calculated total energy: -4.375 eV/atom

2.
Compound: AcCeEu
Source: Alexandria
Functional: PBE-GGA
Structure: optimized geometry

POSCAR file:
```
AcCeEu
1.0
3.795 0.000 0.000
-1.898 3.287 0.000
0.000 0.000 9.315
Ac Ce Eu
1 1 1
Direct
0.000 0.000 0.000
0.667 0.333 0.320
0.333 0.667 0.645
```

Results
* space-group type: P3m1
* ΔE_f: 0.41 eV/f.u.
* calculated total energy: -6.636 eV/atom

3.
Compound: Tb10Si3Ge3
Source: Alexandria
Functional: PBE-GGA
Structure: optimized geometry

POSCAR file:
```
Tb10Si3Ge3
1.0
8.523 0.000 0.000
-4.261 7.381 0.000
0.000 0.000 6.439
Tb Si Ge
10 3 3
Direct
0.000 0.243 0.000
0.000 0.758 0.500
0.242 0.242 0.500
0.243 0.000 0.000
0.333 0.667 0.252
0.333 0.667 0.748
0.667 0.333 0.252
0.667 0.333 0.748
0.757 0.757 0.000
0.758 0.000 0.500
0.000 0.394 0.500
0.394 0.000 0.500
0.606 0.606 0.500
0.000 0.606 0.000
0.394 0.394 0.000
0.606 0.000 0.000
```

Results
* formation energy without anion corrections: -0.7317 eV/atom
* space-group type: P-62m
* calculated total energy: -5.508 eV/atom

Question: calculated total energy of number 1 (PdRh3O)?
Answer: -4.375 eV/atom

Question: Among the records above, which one has the highest calculated total energy?
Answer: PdRh3O

Question: Which of these has the lowest calculated total energy?
Answer: AcCeEu